VASP calculation (PBE-GGA) on a relaxed structure of ZrMnAg2.

For the density of states at the Fermi level, the calculation gives 5.386 states/eV/f.u. For the size of the total moment, the calculation gives 4.01 μB/f.u. The calculation puts the total energy at -90.39 eV per cell. The value obtained for the formation energy from the elements is 0.206 eV/atom. Its theoretical density is 8.31 g/cm³.

The space group is F-43m (No. 216) and the conventional cell measures 6.614, 6.614 and 6.614 Å, with angles of 90.00, 90.00 and 90.00 degrees. Symmetry generates all atoms from Zr at (0.000, 0.000, 0.000), Mn at (0.250, 0.250, 0.250), Ag at (0.000, 0.000, 0.500) and Ag at (0.250, 0.250, 0.750).

---

VASP calculation (PBE-GGA) on a relaxed structure of ZrMnAg3.

For the density of states at the Fermi level, the calculation gives 8.668 states/eV/f.u. For the size of the total moment, the calculation gives 0.00 μB/f.u. The calculation puts the total energy at -20.39 eV per cell. As for the distance to the lowest polymorph of the same formula: 0.0 meV/atom. The value obtained for the formation energy from the elements is 1.175 eV/atom. Its theoretical density is 7.38 g/cm³.

The space group is Pm-3m (No. 221) and the conventional cell measures 4.727, 4.727 and 4.727 Å, with angles of 90.00, 90.00 and 90.00 degrees. Symmetry generates all atoms from Zr at (0.000, 0.000, 0.000), Mn at (0.500, 0.500, 0.500) and Ag at (0.000, 0.500, 0.500).

---

VASP calculation (PBE-GGA) on a relaxed structure of ZrMnAg2.

For the density of states at the Fermi level, the calculation gives 2.853 states/eV/f.u. For the size of the total moment, the calculation gives 2.27 μB/f.u. The calculation puts the total energy at -45.93 eV per cell. The value obtained for the formation energy from the elements is 0.114 eV/atom. Its theoretical density is 8.49 g/cm³.

The space group is I4/mmm (No. 139) and the conventional cell measures 4.005, 4.005 and 8.822 Å, with angles of 90.00, 90.00 and 90.00 degrees. Symmetry generates all atoms from Zr at (0.000, 0.000, 0.000), Mn at (0.000, 0.000, 0.500) and Ag at (0.000, 0.500, 0.250).

---

VASP calculation (PBE-GGA) on a relaxed structure of ZrMnAg2.

For the density of states at the Fermi level, the calculation gives 3.163 states/eV/f.u. For the size of the total moment, the calculation gives 3.01 μB/f.u. The calculation puts the total energy at -45.09 eV per cell. The value obtained for the formation energy from the elements is 0.219 eV/atom. Its theoretical density is 8.24 g/cm³.

The space group is Cmmm (No. 65) and the conventional cell measures 5.640, 8.625 and 3.000 Å, with angles of 90.00, 90.00 and 90.00 degrees. Symmetry generates all atoms from Zr at (0.000, 0.000, 0.000), Mn at (0.000, 0.500, 0.000) and Ag at (0.250, 0.250, 0.500).

---

VASP calculation (PBE-GGA) on a relaxed structure of ZrMnAg4.

For the density of states at the Fermi level, the calculation gives 5.894 states/eV/f.u. For the size of the total moment, the calculation gives 3.86 μB/f.u. The calculation puts the total energy at -110.30 eV per cell. The value obtained for the formation energy from the elements is 0.258 eV/atom. Its theoretical density is 8.42 g/cm³.

The space group is F-43m (No. 216) and the conventional cell measures 7.696, 7.696 and 7.696 Å, with angles of 90.00, 90.00 and 90.00 degrees. Symmetry generates all atoms from Zr at (0.000, 0.000, 0.000), Mn at (0.250, 0.250, 0.250) and Ag at (0.125, 0.125, 0.625).

---

VASP calculation (PBE-GGA) on a relaxed structure of AgMo3.

For the density of states at the Fermi level, the calculation gives 3.685 states/eV/f.u. For the size of the total moment, the calculation gives 0.00 μB/f.u. The calculation puts the total energy at -33.62 eV per cell. As for the distance to the lowest polymorph of the same formula: 190.1 meV/atom. The value obtained for the formation energy from the elements is 0.430 eV/atom. Its theoretical density is 10.01 g/cm³.

The space group is P4/mmm (No. 123) and the conventional cell measures 3.287, 3.287 and 6.073 Å, with angles of 90.00, 90.00 and 90.00 degrees. Symmetry generates all atoms from Ag at (0.000, 0.000, 0.000), Mo at (0.000, 0.000, 0.500) and Mo at (0.500, 0.500, 0.273).

---

> What is the theoretical density in the sixth record?

10.01 g/cm³

---

> The lowest theoretical density belongs to which entry?

ZrMnAg3

---

> Look up the formation energy from the elements of the first one.

0.206 eV/atom

---

> Which of these has the lowest theoretical density?

ZrMnAg3